Here is Sc2TaBr after structural relaxation from Alexandria via LeMat-Bulk. Energies are from PBEsol.

Results
total magnetization: 0.00 μB per atom
E_form (uncorrected): 0.16 eV per atom
energy above the most stable polymorph in this dataset: 457 meV/atom
density: 7.2 g cm⁻³

```
Sc2TaBr
1.0
-1.593 2.721 4.676
1.593 -2.721 4.676
1.593 2.721 -4.676
Sc Ta Br
2 1 1
direct
0.237 0.237 0.000
0.763 0.763 0.000
0.500 0.000 0.500
0.000 0.500 0.500
```